DFT (PBE-GGA) results for an optimized crystal structure of EuErZn.

Cell lengths 3.6541, 3.6541, 6.8285 Å; angles 105.52, 105.52, 90.00 degrees
Last column: nearest neighbours and their distance in Å.
Atoms (fractional coordinates):
Er 0.2991 0.2991 0.5983  4 Zn 2.99
Eu 0.0214 0.0214 0.0428  4 Zn 3.27, 1 Er 3.51, 4 Eu 3.65
Zn 0.6794 0.6794 0.3589  4 Er 2.99, 4 Eu 3.27

Computed properties:
Calculated total energy: -5.541 eV/atom
Formation energy from the elements: -0.1710 eV/atom
Space group: I4mm, No. 107